Record 1
The following is a DFT calculation (PBE) of a relaxed CdSbS2Br crystal.

Properties
The raw total energy comes out at -3.496 eV per atom. The calculation puts the uncorrected formation energy at -0.5030 eV per atom. The calculation puts the density of states at the Fermi level at 0.0 states/eV/cell. The energy above the lowest structure with this stoichiometry is 0.000 eV per atom.

Lattice parameters (Å, degrees): 13.1981 3.9724 9.8628 90.00 91.37 90.00
Space group C2/m (No. 12)
Unique sites:
1 Cd 0.0000 0.0000 0.0000 [2 per cell]
2 Cd 0.0000 0.0000 0.5000 [2 per cell]
3 Sb 0.2139 0.5000 0.3170 [4 per cell]
4 S 0.0859 0.0000 0.2629 [4 per cell]
5 S 0.1463 0.5000 0.5518 [4 per cell]
6 Br 0.1337 0.5000 0.9248 [4 per cell]

---

Record 2
The following is a DFT calculation (PBE) of a relaxed CaSmEr2Tl4 crystal.

Properties
The raw total energy comes out at -3.517 eV per atom. The calculation puts the density of states at the Fermi level at 15.0 states/eV/cell. For the formation energy, the calculation gives -34.1 kJ per mole of atoms.

Lattice parameters (Å, degrees): 5.3897 5.3897 26.5890 90.00 90.00 120.00
Space group R-3m (No. 166, hexagonal axes)
Unique sites:
1 Ca 0.0000 0.0000 0.0000 [3 per cell]
2 Sm 0.0000 0.0000 0.5000 [3 per cell]
3 Er 0.0000 0.0000 0.2519 [6 per cell]
4 Tl 0.0000 0.0000 0.1251 [6 per cell]
5 Tl 0.0000 0.0000 0.3751 [6 per cell]

---

Record 3
The following is a DFT calculation (PBE) of a relaxed NaHg2Bi2 crystal.

Properties
The raw total energy comes out at -1.938 eV per atom. The calculation puts the density of states at the Fermi level at 4.6 states/eV/cell. The energy above the lowest structure with this stoichiometry is 0.119 eV per atom. For the formation energy, the calculation gives -0.1 kJ per mole of atoms.

Lattice parameters (Å, degrees): 4.6760 4.6760 14.5521 90.00 90.00 90.00
Space group I4/mmm (No. 139)
Unique sites:
1 Na 0.0000 0.0000 0.0000 [2 per cell]
2 Hg 0.0000 0.5000 0.2500 [4 per cell]
3 Bi 0.0000 0.0000 0.3909 [4 per cell]

---

Record 4
The following is a DFT calculation (PBE) of a relaxed CrCuW3 crystal.

Properties
The raw total energy comes out at -8.882 eV per atom. The calculation puts the density of states at the Fermi level at 3.6 states/eV/cell. The energy above the lowest structure with this stoichiometry is 0.000 eV per atom. For the formation energy, the calculation gives 157.7 kJ per mole of atoms.

Lattice parameters (Å, degrees): 4.4763 4.4763 4.4763 90.00 90.00 90.00
Space group Pm-3m (No. 221)
Unique sites:
1 Cr 0.0000 0.0000 0.0000 [1 per cell]
2 Cu 0.5000 0.5000 0.5000 [1 per cell]
3 W 0.0000 0.0000 0.5000 [3 per cell]

---

Record 5
The following is a DFT calculation (PBE) of a relaxed SrPbI3 crystal.

Properties
The raw total energy comes out at -2.604 eV per atom. The calculation puts the uncorrected formation energy at -0.5954 eV per atom. The calculation puts the density of states at the Fermi level at 5.2 states/eV/cell. The energy above the lowest structure with this stoichiometry is 0.140 eV per atom.

Lattice parameters (Å, degrees): 6.2901 6.2901 6.2901 90.00 90.00 90.00
Space group Pm-3m (No. 221)
Unique sites:
1 Sr 0.0000 0.0000 0.0000 [1 per cell]
2 Pb 0.5000 0.5000 0.5000 [1 per cell]
3 I 0.0000 0.5000 0.5000 [3 per cell]

---

Record 6
The following is a DFT calculation (PBE) of a relaxed HfPtSe2 crystal.

Properties
The raw total energy comes out at -6.156 eV per atom. The calculation puts the uncorrected formation energy at -0.4151 eV per atom. The calculation puts the density of states at the Fermi level at 5.1 states/eV/cell. The energy above the lowest structure with this stoichiometry is 0.155 eV per atom.

Lattice parameters (Å, degrees): 6.6394 6.6394 6.6394 90.00 90.00 90.00
Space group Fm-3m (No. 225)
Unique sites:
1 Hf 0.0000 0.0000 0.0000 [4 per cell]
2 Pt 0.0000 0.0000 0.5000 [4 per cell]
3 Se 0.2500 0.2500 0.2500 [8 per cell]

---

Record 7
The following is a DFT calculation (PBE) of a relaxed SrCo2P crystal.

Properties
The raw total energy comes out at -5.252 eV per atom. The calculation puts the density of states at the Fermi level at 5.6 states/eV/cell. For the formation energy, the calculation gives 7.2 kJ per mole of atoms.

Lattice parameters (Å, degrees): 3.1424 3.1568 6.6956 90.00 90.00 90.00
Space group Pmm2 (No. 25)
Unique sites:
1 Sr 0.0000 0.0000 0.0000 [1 per cell]
2 Co 0.0000 0.0000 0.5232 [1 per cell]
3 Co 0.5000 0.5000 0.3396 [1 per cell]
4 P 0.5000 0.5000 0.6661 [1 per cell]

---

Record 8
The following is a DFT calculation (PBE) of a relaxed CuOs2Ru crystal.

Properties
The raw total energy comes out at -8.484 eV per atom. The calculation puts the density of states at the Fermi level at 5.2 states/eV/cell. The energy above the lowest structure with this stoichiometry is 0.266 eV per atom. For the formation energy, the calculation gives 45.7 kJ per mole of atoms.

Lattice parameters (Å, degrees): 3.7897 3.7897 3.8573 90.00 90.00 90.00
Space group P4/mmm (No. 123)
Unique sites:
1 Cu 0.0000 0.0000 0.0000 [1 per cell]
2 Os 0.0000 0.5000 0.5000 [2 per cell]
3 Ru 0.5000 0.5000 0.0000 [1 per cell]

---

Record 9
The following is a DFT calculation (PBE) of a relaxed Pa2Fe2Si3 crystal.

Properties
The raw total energy comes out at -8.030 eV per atom. The calculation puts the uncorrected formation energy at -0.5750 eV per atom. The calculation puts the density of states at the Fermi level at 31.7 states/eV/cell.

Lattice parameters (Å, degrees): 4.0994 17.4119 6.4621 90.00 90.00 90.00
Space group Cmcm (No. 63)
Unique sites:
1 Pa 0.0000 0.0496 0.2500 [4 per cell]
2 Pa 0.0000 0.1637 0.7500 [4 per cell]
3 Fe 0.0000 0.3062 0.5486 [8 per cell]
4 Si 0.0000 0.2159 0.2500 [4 per cell]
5 Si 0.0000 0.4356 0.0624 [8 per cell]

---

Record 10
The following is a DFT calculation (PBE) of a relaxed ErHf2Tl crystal.

Properties
The raw total energy comes out at -6.313 eV per atom. The calculation puts the density of states at the Fermi level at 18.1 states/eV/cell. For the formation energy, the calculation gives 38.2 kJ per mole of atoms.

Lattice parameters (Å, degrees): 3.1639 3.1639 34.7299 90.00 90.00 120.00
Space group R-3m (No. 166, hexagonal axes)
Unique sites:
1 Er 0.0000 0.0000 0.0000 [3 per cell]
2 Hf 0.0000 0.0000 0.0913 [6 per cell]
3 Tl 0.0000 0.0000 0.5000 [3 per cell]

---

Record 11
The following is a DFT calculation (PBE) of a relaxed MnBeBr3 crystal.

Properties
The raw total energy comes out at -3.622 eV per atom. The calculation puts the uncorrected formation energy at -0.0389 eV per atom. The calculation puts the density of states at the Fermi level at 2.5 states/eV/cell. The energy above the lowest structure with this stoichiometry is 0.000 eV per atom.

Lattice parameters (Å, degrees): 4.8701 4.8701 4.8701 90.00 90.00 90.00
Space group Pm-3m (No. 221)
Unique sites:
1 Mn 0.0000 0.0000 0.0000 [1 per cell]
2 Be 0.5000 0.5000 0.5000 [1 per cell]
3 Br 0.0000 0.5000 0.5000 [3 per cell]

---

Record 12
The following is a DFT calculation (PBE) of a relaxed UTi2Mn crystal.

Properties
The raw total energy comes out at -8.865 eV per atom. The calculation puts the density of states at the Fermi level at 14.3 states/eV/cell. The energy above the lowest structure with this stoichiometry is 0.203 eV per atom. For the formation energy, the calculation gives 19.0 kJ per mole of atoms.

Lattice parameters (Å, degrees): 2.8566 2.8566 27.6261 90.00 90.00 120.00
Space group R-3m (No. 166, hexagonal axes)
Unique sites:
1 U 0.0000 0.0000 0.0000 [3 per cell]
2 Ti 0.0000 0.0000 0.0999 [6 per cell]
3 Mn 0.0000 0.0000 0.5000 [3 per cell]

---

Q: raw total energy of number 2 (CaSmEr2Tl4)?
A: -3.517 eV per atom

---

Q: Which of these has the lowest raw total energy?
A: CrCuW3

---

Please write out number 7 again, unchanged.
The following is a DFT calculation (PBE) of a relaxed SrCo2P crystal.

Properties
The raw total energy comes out at -5.252 eV per atom. The calculation puts the density of states at the Fermi level at 5.6 states/eV/cell. For the formation energy, the calculation gives 7.2 kJ per mole of atoms.

Lattice parameters (Å, degrees): 3.1424 3.1568 6.6956 90.00 90.00 90.00
Space group Pmm2 (No. 25)
Unique sites:
1 Sr 0.0000 0.0000 0.0000 [1 per cell]
2 Co 0.0000 0.0000 0.5232 [1 per cell]
3 Co 0.5000 0.5000 0.3396 [1 per cell]
4 P 0.5000 0.5000 0.6661 [1 per cell]